a) Density functional theory data (PBE) for an optimized crystal structure of BeTePCl2.

Results
M_tot	0.00	μB per cell
crystal system	tetragonal

Cell lengths 5.320, 5.320, 5.125 Å; angles 90.00, 90.00, 90.00 degrees
Space group P4/mmm (No. 123)
Unique sites:
Be 0.000 0.000 0.000
Te 0.500 0.500 0.500
P 0.500 0.500 0.000
Cl 0.000 0.500 0.500

---

b) Density functional theory data (PBE) for an optimized crystal structure of BeTePCl2.

Results
M_tot	0.00	μB per cell
crystal system	tetragonal

Cell lengths 4.083, 4.083, 8.022 Å; angles 90.00, 90.00, 90.00 degrees
Space group P4/mmm (No. 123)
Unique sites:
Be 0.000 0.000 0.000
Te 0.500 0.500 0.500
P 0.000 0.000 0.500
Cl 0.000 0.500 0.000

---

Of them, b) has the highest stability.

---

a) Density functional theory data (PBE) for an optimized crystal structure of BeTlP2Cl.

Results
M_tot	0.00	μB per cell
crystal system	tetragonal

Cell lengths 4.183, 4.183, 7.317 Å; angles 90.00, 90.00, 90.00 degrees
Space group P4/mmm (No. 123)
Unique sites:
Be 0.000 0.000 0.000
Tl 0.500 0.500 0.500
P 0.000 0.500 0.000
Cl 0.000 0.000 0.500

---

b) Density functional theory data (PBE) for an optimized crystal structure of BeTlP2Cl.

Results
M_tot	1.65	μB per cell
crystal system	tetragonal

Cell lengths 5.191, 5.191, 5.360 Å; angles 90.00, 90.00, 90.00 degrees
Space group P4/mmm (No. 123)
Unique sites:
Be 0.000 0.000 0.000
Tl 0.500 0.500 0.500
P 0.000 0.500 0.500
Cl 0.500 0.500 0.000

---

Of them, a) has the highest stability.

---

a) Density functional theory data (PBE) for an optimized crystal structure of BeVP2Cl.

Results
M_tot	0.00	μB per cell
crystal system	tetragonal

Cell lengths 4.520, 4.520, 4.789 Å; angles 90.00, 90.00, 90.00 degrees
Space group P4/mmm (No. 123)
Unique sites:
Be 0.000 0.000 0.000
V 0.500 0.500 0.500
P 0.000 0.500 0.500
Cl 0.500 0.500 0.000

---

b) Density functional theory data (PBE) for an optimized crystal structure of BeVP2Cl.

Results
M_tot	0.11	μB per cell
crystal system	tetragonal

Cell lengths 4.148, 4.148, 4.682 Å; angles 90.00, 90.00, 90.00 degrees
Space group P4/mmm (No. 123)
Unique sites:
Be 0.000 0.000 0.000
V 0.500 0.500 0.500
P 0.000 0.500 0.000
Cl 0.000 0.000 0.500

---

Of them, a) has the highest stability.

---

a) Density functional theory data (PBE) for an optimized crystal structure of BeZnP2Cl.

Results
M_tot	0.94	μB per cell
crystal system	tetragonal

Cell lengths 4.610, 4.610, 4.951 Å; angles 90.00, 90.00, 90.00 degrees
Space group P4/mmm (No. 123)
Unique sites:
Be 0.000 0.000 0.000
Zn 0.500 0.500 0.500
P 0.000 0.500 0.500
Cl 0.500 0.500 0.000

---

b) Density functional theory data (PBE) for an optimized crystal structure of BeZnP2Cl.

Results
M_tot	0.78	μB per cell
crystal system	tetragonal

Cell lengths 4.296, 4.296, 4.721 Å; angles 90.00, 90.00, 90.00 degrees
Space group P4/mmm (No. 123)
Unique sites:
Be 0.000 0.000 0.000
Zn 0.500 0.500 0.500
P 0.000 0.500 0.000
Cl 0.000 0.000 0.500

---

Of them, b) has the highest stability.

---

a) Density functional theory data (PBE) for an optimized crystal structure of ZrBeP2Cl.

Results
M_tot	0.00	μB per cell
crystal system	tetragonal

Cell lengths 5.076, 5.076, 4.934 Å; angles 90.00, 90.00, 90.00 degrees
Space group P4/mmm (No. 123)
Unique sites:
Zr 0.000 0.000 0.000
Be 0.500 0.500 0.500
P 0.000 0.500 0.000
Cl 0.000 0.000 0.500

---

b) Density functional theory data (PBE) for an optimized crystal structure of ZrBeP2Cl.

Results
M_tot	0.00	μB per cell
crystal system	tetragonal

Cell lengths 4.302, 4.302, 4.512 Å; angles 90.00, 90.00, 90.00 degrees
Space group P4/mmm (No. 123)
Unique sites:
Zr 0.000 0.000 0.000
Be 0.500 0.500 0.500
P 0.000 0.500 0.500
Cl 0.500 0.500 0.000

---

Of them, b) has the highest stability.

---

a) Density functional theory data (PBE) for an optimized crystal structure of Be2PbCl.

Results
M_tot	0.00	μB per cell
crystal system	orthorhombic

Cell lengths 3.036, 5.804, 8.985 Å; angles 90.00, 90.00, 90.00 degrees
Space group Imm2 (No. 44)
Unique sites:
Be 0.000 0.000 0.000
Be 0.000 0.500 0.305
Pb 0.000 0.500 0.791
Cl 0.000 0.000 0.639

---

b) Density functional theory data (PBE) for an optimized crystal structure of Be2PbCl.

Results
M_tot	0.00	μB per cell
crystal system	orthorhombic

Cell lengths 3.254, 6.343, 7.363 Å; angles 90.00, 90.00, 90.00 degrees
Space group Immm (No. 71)
Unique sites:
Be 0.000 0.000 0.221
Pb 0.000 0.500 0.000
Cl 0.000 0.500 0.500

---

c) Density functional theory data (PBE) for an optimized crystal structure of Be2PbCl.

Results
M_tot	0.00	μB per cell
crystal system	trigonal

Cell lengths 3.5520, 3.5520, 19.8798 Å; angles 90.00, 90.00, 120.00 degrees
Space group R-3m (No. 166, hexagonal axes)
Unique sites:
Be 0.0000 0.0000 0.2504
Pb 0.0000 0.0000 0.5000
Cl 0.0000 0.0000 0.0000

---

Of them, a) has the highest stability.

---

a) Density functional theory data (PBE) for an optimized crystal structure of BePb2Cl.

Results
M_tot	0.00	μB per cell
crystal system	trigonal

Cell lengths 3.4495, 3.4495, 30.2555 Å; angles 90.00, 90.00, 120.00 degrees
Space group R3m (No. 160, hexagonal axes)
Unique sites:
Be 0.0000 0.0000 0.0000
Pb 0.0000 0.0000 0.4950
Pb 0.0000 0.0000 0.7352
Cl 0.0000 0.0000 0.2963

---

b) Density functional theory data (PBE) for an optimized crystal structure of BePb2Cl.

Results
M_tot	0.00	μB per cell
crystal system	orthorhombic

Cell lengths 3.478, 4.710, 6.416 Å; angles 90.00, 90.00, 90.00 degrees
Space group Pmmm (No. 47)
Unique sites:
Be 0.000 0.000 0.000
Pb 0.000 0.500 0.500
Pb 0.500 0.500 0.000
Cl 0.500 0.000 0.500

---

c) Density functional theory data (PBE) for an optimized crystal structure of BePb2Cl.

Results
M_tot	0.00	μB per cell
crystal system	tetragonal

Cell lengths 3.771, 3.771, 8.082 Å; angles 90.00, 90.00, 90.00 degrees
Space group P4mm (No. 99)
Unique sites:
Be 0.000 0.000 0.000
Pb 0.000 0.000 0.656
Pb 0.500 0.500 0.005
Cl 0.500 0.500 0.474

---

d) Density functional theory data (PBE) for an optimized crystal structure of BePb2Cl.

Results
M_tot	0.00	μB per cell
crystal system	cubic

Cell lengths 7.253, 7.253, 7.253 Å; angles 90.00, 90.00, 90.00 degrees
Space group Fm-3m (No. 225)
Unique sites:
Be 0.000 0.000 0.000
Pb 0.250 0.250 0.250
Cl 0.000 0.000 0.500

---

Of them, a) has the highest stability.

---

a) Density functional theory data (PBE) for an optimized crystal structure of BePb2Cl.

Results
M_tot	0.00	μB per cell
crystal system	trigonal

Cell lengths 4.0279, 4.0279, 22.0007 Å; angles 90.00, 90.00, 120.00 degrees
Space group R-3m (No. 166, hexagonal axes)
Unique sites:
Be 0.0000 0.0000 0.0000
Pb 0.0000 0.0000 0.2702
Cl 0.0000 0.0000 0.5000

---

b) Density functional theory data (PBE) for an optimized crystal structure of BePb2Cl.

Results
M_tot	0.00	μB per cell
crystal system	orthorhombic

Cell lengths 4.155, 5.330, 9.664 Å; angles 90.00, 90.00, 90.00 degrees
Space group Immm (No. 71)
Unique sites:
Be 0.000 0.000 0.000
Pb 0.000 0.500 0.329
Cl 0.000 0.000 0.500

---

Of them, a) has the highest stability.